Density functional theory data (GGA+U) for a relaxed Mn3Ni34O40 crystal.

Energy in eV/atom: -5.024
Volume in Å³ per atom: 9.70

Structure (CIF):
```
data_Mn3Ni34O40
_symmetry_space_group_name_H-M 'P 1'
_symmetry_Int_Tables_number 1
_symmetry_space_group_name_Hall 'P 1'
_cell_length_a 5.9639
_cell_length_b 5.9639
_cell_length_c 21.4096
_cell_angle_alpha 97.97
_cell_angle_beta 97.97
_cell_angle_gamma 90.10
loop_
_atom_site_label
_atom_site_fract_x
_atom_site_fract_y
_atom_site_fract_z
_atom_site_occupancy
Mn1 0.0000 0.0000 0.0000 1
Mn2 0.2004 0.2004 0.4000 1
Mn3 0.6002 0.6002 0.2001 1
Ni1 0.0002 0.5003 0.0007 1
Ni2 0.1001 0.1001 0.6999 1
Ni3 0.1002 0.6001 0.6999 1
Ni4 0.1003 0.6007 0.2003 1
Ni5 0.2002 0.7001 0.3994 1
Ni6 0.2069 0.6944 0.9015 1
Ni7 0.2075 0.2075 0.9014 1
Ni8 0.3000 0.3000 0.5993 1
Ni9 0.2999 0.7997 0.5992 1
Ni10 0.3006 0.3006 0.1005 1
Ni11 0.3007 0.8001 0.1002 1
Ni12 0.4004 0.4004 0.3001 1
Ni13 0.4000 0.4000 0.7995 1
Ni14 0.4003 0.8998 0.2997 1
Ni15 0.4004 0.9002 0.8005 1
Ni16 0.5003 0.0002 0.0007 1
Ni17 0.5063 0.5063 0.4984 1
Ni18 0.5065 0.9928 0.4985 1
Ni19 0.6001 0.1002 0.6999 1
Ni20 0.6001 0.6001 0.6999 1
Ni21 0.6007 0.1003 0.2003 1
Ni22 0.6944 0.2069 0.9015 1
Ni23 0.6940 0.6940 0.9016 1
Ni24 0.7001 0.2002 0.3994 1
Ni25 0.7997 0.2999 0.5992 1
Ni26 0.8001 0.3007 0.1002 1
Ni27 0.8004 0.8004 0.6006 1
Ni28 0.8011 0.8011 0.1003 1
Ni29 0.8993 0.8993 0.2999 1
Ni30 0.8998 0.4003 0.2997 1
Ni31 0.9002 0.4004 0.8005 1
Ni32 0.9002 0.9002 0.8005 1
Ni33 0.9928 0.5065 0.4985 1
Ni34 0.9929 0.9929 0.4984 1
O1 0.0458 0.0458 0.0914 1
O2 0.0511 0.0511 0.5994 1
O3 0.0514 0.5499 0.1006 1
O4 0.0544 0.5451 0.5991 1
O5 0.1458 0.6550 0.8008 1
O6 0.1490 0.1490 0.8005 1
O7 0.1494 0.6506 0.2996 1
O8 0.1550 0.1550 0.3085 1
O9 0.2271 0.2271 0.0008 1
O10 0.2281 0.7728 0.0011 1
O11 0.2478 0.2478 0.4948 1
O12 0.2496 0.7498 0.4987 1
O13 0.3504 0.8498 0.7000 1
O14 0.3505 0.3505 0.7002 1
O15 0.3714 0.3714 0.2004 1
O16 0.3714 0.8295 0.2003 1
O17 0.4284 0.9717 0.3991 1
O18 0.4292 0.4292 0.3991 1
O19 0.4471 0.4471 0.8944 1
O20 0.4505 0.9508 0.9015 1
O21 0.5451 0.0544 0.5991 1
O22 0.5486 0.5486 0.5991 1
O23 0.5499 0.0514 0.1006 1
O24 0.5546 0.5546 0.1084 1
O25 0.6455 0.6455 0.2920 1
O26 0.6506 0.1494 0.2996 1
O27 0.6517 0.6517 0.8008 1
O28 0.6550 0.1458 0.8008 1
O29 0.7498 0.2496 0.4987 1
O30 0.7534 0.7534 0.5058 1
O31 0.7728 0.2281 0.0011 1
O32 0.7725 0.7725 0.0008 1
O33 0.8295 0.3714 0.2003 1
O34 0.8297 0.8297 0.2002 1
O35 0.8498 0.3504 0.7000 1
O36 0.8497 0.8497 0.6997 1
O37 0.9508 0.4505 0.9015 1
O38 0.9525 0.9525 0.9058 1
O39 0.9712 0.9712 0.3988 1
O40 0.9717 0.4284 0.3991 1
```